Ac2PuNi (PBE-GGA, optimized geometry); distance to the lowest polymorph of the same formula = 0.1983 eV/atom; space group = R-3m, No. 166; energy of formation from the pure elements = 0.29 eV/atom; magnetization = 6.683 μB/f.u.; raw total energy = -27.17 eV for the cell shown
1.0
1.956 1.129 10.732
-1.956 1.129 10.732
0.000 -2.258 10.732
Ac Pu Ni
2 1 1
Direct
0.111 0.111 0.111
0.889 0.889 0.889
0.000 0.000 0.000
0.500 0.500 0.500